(1)
Here is crystalline BaInBr5 at its relaxed geometry from the Alexandria database. Energies are from GGA-PBE.

Lattice parameters (Å, degrees): 8.0665 8.0665 11.8386 69.41 69.41 84.86
Fractional coordinates of all 14 atoms:
In 0.4214 0.5786 0.2500
In 0.5786 0.4214 0.7500
Br 0.7565 0.6254 0.1783
Br 0.3746 0.2435 0.3217
Br 0.9098 0.0902 0.2500
Br 0.2435 0.3746 0.8217
Br 0.6254 0.7565 0.6783
Br 0.7312 0.3284 0.5539
Br 0.3284 0.7312 0.0539
Br 0.2688 0.6716 0.4461
Br 0.6716 0.2688 0.9461
Br 0.0902 0.9098 0.7500
Ba 0.0000 0.0000 0.5000
Ba 0.0000 0.0000 0.0000

DOS at the Fermi energy: 0.000 states/eV/atom
ΔE_f (raw): -1.341 eV/atom

---

(2)
Here is crystalline VSiSe2Br at its relaxed geometry from the Alexandria database. Energies are from GGA-PBE.

Lattice parameters (Å, degrees): 4.8931 4.8931 5.0117 90.00 90.00 90.00
Fractional coordinates of all 5 atoms:
Se 0.5000 0.0000 0.0000
Se 0.0000 0.5000 0.0000
V 0.0000 0.0000 0.0000
Br 0.0000 0.0000 0.5000
Si 0.5000 0.5000 0.5000

DOS at the Fermi energy: 0.835 states/eV/atom
Energy relative to the lowest polymorph listed for this composition: 0 meV per atom
ΔE_f (raw): 0.224 eV/atom

---

(3)
Here is crystalline Zr2TlRh at its relaxed geometry from the Alexandria database. Energies are from GGA-PBE.

Lattice parameters (Å, degrees): 4.4252 4.4274 4.1016 90.00 90.00 90.00
Fractional coordinates of all 4 atoms:
Zr 0.0000 0.0000 0.0000
Zr 0.5000 0.5000 0.0000
Tl 0.0000 0.5000 0.5000
Rh 0.5000 0.0000 0.5000

DOS at the Fermi energy: 1.072 states/eV/atom
Calculated formation energy: -1.13 eV/f.u.

---

(4)
Here is crystalline Tb6Pr5Y2 at its relaxed geometry from the Alexandria database. Energies are from GGA-PBE.

Lattice parameters (Å, degrees): 3.6319 11.7773 20.7477 90.00 90.00 90.00
Fractional coordinates of all 26 atoms:
Y 0.0000 0.1693 0.7882
Y 0.0000 0.3307 0.2882
Y 0.0000 0.8307 0.2118
Y 0.0000 0.6693 0.7118
Tb 0.0000 0.4384 0.5805
Tb 0.0000 0.9384 0.9195
Tb 0.5000 0.8251 0.3634
Tb 0.0000 0.0807 0.3674
Tb 0.0000 0.4193 0.8674
Tb 0.0000 0.9193 0.6326
Tb 0.0000 0.0616 0.0805
Tb 0.5000 0.1749 0.6366
Tb 0.0000 0.5616 0.4195
Tb 0.5000 0.3251 0.1366
Tb 0.5000 0.6749 0.8634
Tb 0.0000 0.5807 0.1326
Pr 0.5000 0.9124 0.7742
Pr 0.5000 0.0000 0.5000
Pr 0.5000 0.0876 0.2258
Pr 0.5000 0.5000 0.0000
Pr 0.5000 0.4124 0.7258
Pr 0.5000 0.1987 0.9488
Pr 0.5000 0.6987 0.5512
Pr 0.5000 0.5876 0.2742
Pr 0.5000 0.8013 0.0512
Pr 0.5000 0.3013 0.4488

DOS at the Fermi energy: 1.261 states/eV/atom
Calculated formation energy: 1.18 eV/f.u.